# 1
# Y2Ho7Mg2, relaxed, DFT PBE
data_Y2Ho7Mg2
_chemical_formula_sum 'Y2 Ho7 Mg2'
_space_group_name_H-M_alt 'P 1'
_space_group_IT_number 1
_cell_length_a 7.516
_cell_length_b 7.516
_cell_length_c 6.666
_cell_angle_alpha 104.79
_cell_angle_beta 104.79
_cell_angle_gamma 99.48
loop_
_space_group_symop_operation_xyz
'x,y,z'
loop_
_atom_site_label
_atom_site_type_symbol
_atom_site_fract_x
_atom_site_fract_y
_atom_site_fract_z
_atom_site_occupancy
Y1 Y 0.142 0.858 0.000 1
Y2 Y 0.858 0.142 0.000 1
Ho1 Ho 0.000 0.000 0.500 1
Ho2 Ho 0.073 0.577 0.303 1
Ho3 Ho 0.331 0.331 0.016 1
Ho4 Ho 0.423 0.927 0.697 1
Ho5 Ho 0.577 0.073 0.303 1
Ho6 Ho 0.669 0.669 0.984 1
Ho7 Ho 0.927 0.423 0.697 1
Mg1 Mg 0.343 0.343 0.530 1
Mg2 Mg 0.657 0.657 0.470 1
# **Formation energy**: 0.191 eV per atom


# 2
# HgTeRu2, relaxed, DFT PBE
data_HgTeRu2
_chemical_formula_sum 'Hg1 Te1 Ru2'
_space_group_name_H-M_alt 'P 1'
_space_group_IT_number 1
_cell_length_a 4.386
_cell_length_b 4.386
_cell_length_c 5.826
_cell_angle_alpha 100.82
_cell_angle_beta 100.82
_cell_angle_gamma 42.71
loop_
_space_group_symop_operation_xyz
'x,y,z'
loop_
_atom_site_label
_atom_site_type_symbol
_atom_site_fract_x
_atom_site_fract_y
_atom_site_fract_z
_atom_site_occupancy
Hg1 Hg 0.000 0.000 0.000 1
Te1 Te 0.500 0.500 0.500 1
Ru1 Ru 0.246 0.246 0.707 1
Ru2 Ru 0.754 0.754 0.293 1
# **E_form (uncorrected)**: 1.7 eV per formula unit


# 3
# Nb2InSn2, relaxed, DFT PBE
data_Nb2InSn2
_chemical_formula_sum 'Nb4 In2 Sn4'
_space_group_name_H-M_alt 'P 1'
_space_group_IT_number 1
_cell_length_a 7.510
_cell_length_b 7.510
_cell_length_c 3.850
_cell_angle_alpha 90.00
_cell_angle_beta 90.00
_cell_angle_gamma 90.00
loop_
_space_group_symop_operation_xyz
'x,y,z'
loop_
_atom_site_label
_atom_site_type_symbol
_atom_site_fract_x
_atom_site_fract_y
_atom_site_fract_z
_atom_site_occupancy
Nb1 Nb 0.140 0.360 0.000 1
Nb2 Nb 0.360 0.860 0.000 1
Nb3 Nb 0.640 0.140 0.000 1
Nb4 Nb 0.860 0.640 0.000 1
In1 In 0.000 0.000 0.000 1
In2 In 0.500 0.500 0.000 1
Sn1 Sn 0.156 0.656 0.500 1
Sn2 Sn 0.344 0.156 0.500 1
Sn3 Sn 0.656 0.844 0.500 1
Sn4 Sn 0.844 0.344 0.500 1
# **Formation energy**: 0.022 eV per atom


# 4
# Sm8Ho6Tm, relaxed, DFT PBE
data_Sm8Ho6Tm
_chemical_formula_sum 'Sm8 Ho6 Tm1'
_space_group_name_H-M_alt 'P 1'
_space_group_IT_number 1
_cell_length_a 9.370
_cell_length_b 9.370
_cell_length_c 6.508
_cell_angle_alpha 90.00
_cell_angle_beta 90.00
_cell_angle_gamma 120.00
loop_
_space_group_symop_operation_xyz
'x,y,z'
loop_
_atom_site_label
_atom_site_type_symbol
_atom_site_fract_x
_atom_site_fract_y
_atom_site_fract_z
_atom_site_occupancy
Sm1 Sm 0.035 0.284 0.333 1
Sm2 Sm 0.249 0.965 0.333 1
Sm3 Sm 0.284 0.249 0.667 1
Sm4 Sm 0.333 0.667 0.378 1
Sm5 Sm 0.667 0.333 0.622 1
Sm6 Sm 0.716 0.751 0.333 1
Sm7 Sm 0.751 0.035 0.667 1
Sm8 Sm 0.965 0.716 0.667 1
Ho1 Ho 0.093 0.438 0.840 1
Ho2 Ho 0.345 0.907 0.840 1
Ho3 Ho 0.438 0.345 0.160 1
Ho4 Ho 0.562 0.655 0.840 1
Ho5 Ho 0.655 0.093 0.160 1
Ho6 Ho 0.907 0.562 0.160 1
Tm1 Tm 0.000 0.000 0.000 1
# **Formation energy**: 0.177 eV per atom


# 5
# La2SnHgB, relaxed, DFT PBE
data_La2SnHgB
_chemical_formula_sum 'La2 Sn1 Hg1 B1'
_space_group_name_H-M_alt 'P 1'
_space_group_IT_number 1
_cell_length_a 5.461
_cell_length_b 5.461
_cell_length_c 4.455
_cell_angle_alpha 90.00
_cell_angle_beta 90.00
_cell_angle_gamma 90.00
loop_
_space_group_symop_operation_xyz
'x,y,z'
loop_
_atom_site_label
_atom_site_type_symbol
_atom_site_fract_x
_atom_site_fract_y
_atom_site_fract_z
_atom_site_occupancy
La1 La 0.000 0.500 0.000 1
La2 La 0.500 0.000 0.000 1
Sn1 Sn 0.000 0.000 0.500 1
Hg1 Hg 0.500 0.500 0.500 1
B1 B 0.000 0.000 0.000 1
# **Formation energy**: -0.236 eV per atom


# 6
# V2Co4Ni, relaxed, DFT PBE
data_V2Co4Ni
_chemical_formula_sum 'V2 Co4 Ni1'
_space_group_name_H-M_alt 'P 1'
_space_group_IT_number 1
_cell_length_a 6.486
_cell_length_b 6.486
_cell_length_c 6.486
_cell_angle_alpha 142.39
_cell_angle_beta 142.39
_cell_angle_gamma 54.24
loop_
_space_group_symop_operation_xyz
'x,y,z'
loop_
_atom_site_label
_atom_site_type_symbol
_atom_site_fract_x
_atom_site_fract_y
_atom_site_fract_z
_atom_site_occupancy
V1 V 0.122 0.122 0.000 1
V2 V 0.878 0.878 0.000 1
Co1 Co 0.000 0.500 0.500 1
Co2 Co 0.299 0.299 0.000 1
Co3 Co 0.500 0.000 0.500 1
Co4 Co 0.701 0.701 0.000 1
Ni1 Ni 0.500 0.500 0.000 1
# **Formation energy**: 0.983 eV per atom


# 7
# PaOsC, relaxed, DFT PBE
data_PaOsC
_chemical_formula_sum 'Pa1 Os1 C1'
_space_group_name_H-M_alt 'P 1'
_space_group_IT_number 1
_cell_length_a 3.777
_cell_length_b 3.777
_cell_length_c 3.815
_cell_angle_alpha 90.00
_cell_angle_beta 90.00
_cell_angle_gamma 120.00
loop_
_space_group_symop_operation_xyz
'x,y,z'
loop_
_atom_site_label
_atom_site_type_symbol
_atom_site_fract_x
_atom_site_fract_y
_atom_site_fract_z
_atom_site_occupancy
Pa1 Pa 0.000 0.000 0.000 1
Os1 Os 0.667 0.333 0.500 1
C1 C 0.333 0.667 0.501 1
# **Formation energy**: 0.142 eV per atom


# 8
# Ni2WCl, relaxed, DFT PBE
data_Ni2WCl
_chemical_formula_sum 'Ni2 W1 Cl1'
_space_group_name_H-M_alt 'P 1'
_space_group_IT_number 1
_cell_length_a 4.748
_cell_length_b 4.748
_cell_length_c 2.746
_cell_angle_alpha 90.00
_cell_angle_beta 90.00
_cell_angle_gamma 118.27
loop_
_space_group_symop_operation_xyz
'x,y,z'
loop_
_atom_site_label
_atom_site_type_symbol
_atom_site_fract_x
_atom_site_fract_y
_atom_site_fract_z
_atom_site_occupancy
Ni1 Ni 0.000 0.500 0.000 1
Ni2 Ni 0.500 0.000 0.000 1
W1 W 0.000 0.000 0.500 1
Cl1 Cl 0.500 0.500 0.500 1
# **E_form (uncorrected)**: 2.6 eV per formula unit